DFT (GGA-PBE) results for a geometry-optimized TbCeSe2O structure.

formation energy without anion corrections	-1166	kJ/mol of formula units
total DFT energy (no corrections)	-69.161	eV for the cell shown
volume	23.27	Å³ per atom

The structure in CIF format:
```
data_TbCeSe2O
_chemical_formula_sum 'Tb2 Ce2 Se4 O2'
_symmetry_space_group_name_H-M 'P 4/n m m'
_symmetry_Int_Tables_number 129
_cell_length_a 4.022
_cell_length_b 4.022
_cell_length_c 14.387
_cell_angle_alpha 90.00
_cell_angle_beta 90.00
_cell_angle_gamma 90.00
loop_
_symmetry_equiv_pos_as_xyz
'x,y,z'
'-x,-y,-z'
'-y+1/2,x,z'
'y+1/2,-x,-z'
'-x+1/2,-y+1/2,z'
'x+1/2,y+1/2,-z'
'y,-x+1/2,z'
'-y,x+1/2,-z'
'x+1/2,-y,-z'
'-x+1/2,y,z'
'-y,-x,-z'
'y,x,z'
'-x,y+1/2,-z'
'x,-y+1/2,z'
'y+1/2,x+1/2,-z'
'-y+1/2,-x+1/2,z'
loop_
_atom_site_label
_atom_site_type_symbol
_atom_site_fract_x
_atom_site_fract_y
_atom_site_fract_z
_atom_site_occupancy
Tb1 Tb 0.250 0.250 0.119 1
Ce1 Ce 0.250 0.250 0.585 1
Se1 Se 0.250 0.250 0.309 1
Se2 Se 0.250 0.250 0.907 1
O1 O 0.250 0.750 0.500 1
```

DFT (GGA-PBE) results for a geometry-optimized MnGaPt4 structure.

total DFT energy (no corrections)	-76.418	eV for the cell shown
volume	16.01	Å³ per atom
energy of formation from the pure elements	-0.308	eV per atom
ΔE to the lowest computed polymorph	0.00	eV per formula unit

The structure in CIF format:
```
data_MnGaPt4
_chemical_formula_sum 'Mn2 Ga2 Pt8'
_symmetry_space_group_name_H-M 'C 1 2/m 1'
_symmetry_Int_Tables_number 12
_symmetry_space_group_name_Hall '-C 2y'
_cell_length_a 8.604
_cell_length_b 2.882
_cell_length_c 8.531
_cell_angle_alpha 90.00
_cell_angle_beta 114.75
_cell_angle_gamma 90.00
loop_
_atom_site_label
_atom_site_type_symbol
_atom_site_fract_x
_atom_site_fract_y
_atom_site_fract_z
_atom_site_occupancy
Mn1 Mn 0.000 0.000 0.000 1
Ga1 Ga 0.000 0.500 0.500 1
Pt1 Pt 0.146 0.000 0.351 1
Pt2 Pt 0.155 0.500 0.848 1
```